Density functional theory data (GGA-PBE) for a geometry-optimized FeGeBr structure.

Cell lengths 4.1147, 5.3755, 6.0510 Å; angles 107.56, 94.95, 89.00 degrees
Positions (direct):
Ge (0.2699, 0.6992, 0.5516)
Ge (0.7497, 0.1998, 0.6227)
Fe (0.7581, 0.4827, 0.3936)
Fe (0.7920, 0.8325, 0.7564)
Br (0.0653, 0.0919, 0.1476)
Br (0.5716, 0.5558, 0.0101)

Results
Energy above the lowest structure with this stoichiometry, meV/atom: 150
SG: No. 1
Total moment, μB/cell: 4.054
Energy relative to the elements, uncorrected, meV/atom: 63
Theoretical density, Mg/m³: 5.4


Density functional theory data (GGA-PBE) for a geometry-optimized CsSiN2F structure.

Cell lengths 3.6042, 3.6042, 6.0445 Å; angles 90.00, 90.00, 90.00 degrees
Positions (direct):
Cs (0.5000, 0.5000, 0.5000)
Si (0.0000, 0.0000, 0.0000)
N (0.0000, 0.5000, 0.0000)
N (0.5000, 0.0000, 0.0000)
F (0.0000, 0.0000, 0.5000)

Results
Energy above the lowest structure with this stoichiometry, meV/atom: 0
SG: No. 123
Total moment, μB/cell: 0.000
Energy relative to the elements, uncorrected, meV/atom: -330
Theoretical density, Mg/m³: 4.4


Density functional theory data (GGA-PBE) for a geometry-optimized NaNi structure.

Cell lengths 6.6096, 6.6096, 6.6096 Å; angles 90.00, 90.00, 90.00 degrees
Positions (direct):
Na (0.2500, 0.2500, 0.2500)
Na (0.2500, 0.7500, 0.7500)
Na (0.7500, 0.2500, 0.7500)
Na (0.7500, 0.7500, 0.2500)
Ni (0.0000, 0.0000, 0.0000)
Ni (0.0000, 0.5000, 0.5000)
Ni (0.5000, 0.0000, 0.5000)
Ni (0.5000, 0.5000, 0.0000)

Results
SG: No. 216
DFT total energy, eV per atom: -2.070
Total moment, μB/cell: 4.016
Theoretical density, Mg/m³: 1.9


Density functional theory data (GGA-PBE) for a geometry-optimized NiPt2Se structure.

Cell lengths 3.7838, 3.8790, 4.4597 Å; angles 75.21, 90.00, 90.00 degrees
Positions (direct):
Ni (0.5000, 0.7567, 0.6860)
Pt (0.0000, 0.9393, 0.0169)
Pt (0.5000, 0.3295, 0.2314)
Se (0.0000, 0.4745, 0.5657)

Results
SG: No. 6
Total moment, μB/cell: 0.000
Energy relative to the elements, uncorrected, meV/atom: 32
Theoretical density, Mg/m³: 13.8


Density functional theory data (GGA-PBE) for a geometry-optimized Hf5ZnGa3 structure.

Cell lengths 6.3224, 6.3224, 9.9077 Å; angles 84.87, 84.87, 81.77 degrees
Positions (direct):
Hf (0.9806, 0.3859, 0.3478)
Hf (0.3253, 0.6747, 0.0000)
Hf (0.7279, 0.7279, 0.1483)
Hf (0.4636, 0.4636, 0.3133)
Hf (0.5364, 0.5364, 0.6867)
Hf (0.2721, 0.2721, 0.8517)
Hf (0.3859, 0.9806, 0.3478)
Hf (0.6747, 0.3253, 0.0000)
Hf (0.0194, 0.6141, 0.6522)
Hf (0.6141, 0.0194, 0.6522)
Zn (0.0280, 0.0280, 0.7458)
Zn (0.9720, 0.9720, 0.2542)
Ga (0.7436, 0.7436, 0.8736)
Ga (0.7227, 0.7227, 0.4487)
Ga (0.0000, 0.0000, 0.0000)
Ga (0.0000, 0.0000, 0.5000)
Ga (0.2564, 0.2564, 0.1264)
Ga (0.2773, 0.2773, 0.5513)

Results
SG: No. 12
DFT total energy, eV per atom: -6.567
Total moment, μB/cell: 0.000
Theoretical density, Mg/m³: 10.0


Density functional theory data (GGA-PBE) for a geometry-optimized AsBr2 structure.

Cell lengths 14.4214, 14.4214, 3.7867 Å; angles 90.00, 90.00, 166.68 degrees
Positions (direct):
As (0.6245, 0.3755, 0.7500)
As (0.3755, 0.6245, 0.2500)
Br (0.9337, 0.0663, 0.7500)
Br (0.3122, 0.6878, 0.7500)
Br (0.6878, 0.3122, 0.2500)
Br (0.0663, 0.9337, 0.2500)

Results
Energy above the lowest structure with this stoichiometry, meV/atom: 295
SG: No. 63
Total moment, μB/cell: 0.000
Energy relative to the elements, uncorrected, meV/atom: 19
Theoretical density, Mg/m³: 4.3


Density functional theory data (GGA-PBE) for a geometry-optimized YSi2O2 structure.

Cell lengths 3.2609, 3.2609, 7.0667 Å; angles 76.66, 76.66, 90.00 degrees
Positions (direct):
Y (0.0000, 0.0000, 0.0000)
Si (0.7500, 0.2500, 0.5000)
Si (0.2500, 0.7500, 0.5000)
O (0.4137, 0.4137, 0.1726)
O (0.5863, 0.5863, 0.8274)

Results
Energy above the lowest structure with this stoichiometry, meV/atom: 522
SG: No. 139
Total moment, μB/cell: 0.000
Energy relative to the elements, uncorrected, meV/atom: -994
Theoretical density, Mg/m³: 4.1


Density functional theory data (GGA-PBE) for a geometry-optimized SrMgCl2 structure.

Cell lengths 3.6397, 3.6387, 10.4466 Å; angles 90.00, 90.00, 90.00 degrees
Positions (direct):
Cl (0.0000, 0.0000, 0.9047)
Cl (0.0000, 0.0000, 0.5953)
Mg (0.5000, 0.5000, 0.2500)
Sr (0.5000, 0.5000, 0.7500)

Results
Energy above the lowest structure with this stoichiometry, meV/atom: 92
SG: No. 123
Total moment, μB/cell: 0.000
Energy relative to the elements, uncorrected, meV/atom: -1426
Theoretical density, Mg/m³: 2.2